# Tc7Rh | Alexandria via LeMat-Bulk | GGA-PBEsol | optimized geometry
data_Tc7Rh
_chemical_formula_sum 'Tc7 Rh1'
_cell_length_a 5.3987
_cell_length_b 5.3987
_cell_length_c 5.3987
_cell_angle_alpha 60.00
_cell_angle_beta 60.00
_cell_angle_gamma 60.00
_symmetry_space_group_name_H-M 'P 1'
_symmetry_Int_Tables_number 1
loop_
_symmetry_equiv_pos_as_xyz
'x,y,z'
loop_
_atom_site_label
_atom_site_fract_x
_atom_site_fract_y
_atom_site_fract_z
Tc1 0.0000 0.0000 0.0000
Tc2 0.0000 0.0000 0.5000
Tc3 0.0000 0.5000 0.0000
Tc4 0.0000 0.5000 0.5000
Tc5 0.5000 0.0000 0.0000
Tc6 0.5000 0.0000 0.5000
Tc7 0.5000 0.5000 0.0000
Rh1 0.5000 0.5000 0.5000
# - Raw total energy: -10.86 eV/atom
# - DOS at the Fermi energy: 1.063 states/eV/atom
# - Crystal system: cubic
# - Total magnetization: 0.00 μB/cell
# - Energy of formation from the pure elements: 0.016 eV/atom
# - Mass density: 11.77 g/cm³